[1]
This record from Alexandria describes a relaxed TaIrBr2 crystal. The functional is PBE-GGA.

```
4
Lattice="3.089 0.000 0.000 0.000 5.369 0.004 0.000 3.508 4.356" Properties=species:S:1:pos:R:3 pbc="T T T"
Ir 1.545 4.439 2.180
Br 0.000 0.000 0.000
Br 1.545 2.685 0.002
Ta 0.000 1.754 2.178
```

Properties
Crystal system   monoclinic
SG   P2/m (10)
Raw formation energy   0.7193 eV/atom
E above lowest polymorph   1154 meV per atom


[2]
This record from Alexandria describes a relaxed Tl2CrSnTe4 crystal. The functional is PBE-GGA.

```
16
Lattice="8.878 0.021 0.165 0.015 8.878 0.165 -4.266 -4.269 6.123" Properties=species:S:1:pos:R:3 pbc="T T T"
Tl 4.439 0.010 0.082
Tl 2.306 -2.124 3.144
Tl -2.133 -2.135 3.061
Tl 4.446 4.449 0.165
Cr 0.007 4.439 0.082
Cr 6.752 2.325 3.308
Sn 2.313 2.315 3.226
Sn 4.611 -4.249 6.287
Te -2.307 2.203 5.965
Te 4.719 0.371 3.548
Te -0.093 4.258 2.904
Te 6.933 2.426 0.486
Te 2.684 2.199 6.315
Te 4.741 4.258 3.362
Te -0.115 0.371 3.089
Te 1.942 2.430 0.137
```

Properties
Crystal system   orthorhombic
SG   Imma (74)
Raw formation energy   -0.2311 eV/atom


[3]
This record from Alexandria describes a relaxed InGa2Hg2Br6 crystal. The functional is PBE-GGA.

```
11
Lattice="-2.759 -7.454 -0.700 3.571 -5.961 3.922 -4.469 -3.291 7.183" Properties=species:S:1:pos:R:3 pbc="T T T"
In 0.000 0.000 0.000
Ga -2.602 -8.160 6.200
Ga -1.055 -8.545 4.206
Hg -2.449 -12.602 7.426
Hg -1.208 -4.103 2.980
Br -0.497 -10.891 4.200
Br 0.885 -7.156 4.550
Br -2.286 -7.905 2.235
Br -1.371 -8.801 8.171
Br -4.542 -9.549 5.856
Br -3.160 -5.815 6.206
```

Properties
Crystal system   trigonal
SG   R-3m (166)
Raw formation energy   -0.5136 eV/atom


Question: What is the raw formation energy in the first record?
Answer: 0.7193 eV/atom